A relaxed structure of CsSbRhC2. Source: Alexandria, functional PBE.

DOS(E_F) = 1.23 states/eV per atom
Spin magnetization = 1.3 μB per formula unit
Crystal system = tetragonal
Calculated total energy = -2.62 eV per atom
Space group = P4/mmm
E_form (uncorrected) = 1704.1 kJ/mol of formula units

Unit cell a=4.424 b=6.682 c=4.424 alpha=90.00 beta=90.00 gamma=90.00
Positions (direct):
Cs1 0.000 0.000 0.000
C1 0.500 0.000 0.000
C2 0.000 0.000 0.500
Sb1 0.000 0.500 0.000
Rh1 0.500 0.500 0.500